VASP calculation (PBE) on a relaxed PuPaC crystal.

abc: 3.4892 3.4892 4.9485
angles: 90.00 90.00 120.00
Element x y z (fractional)
Pu (0.0000, 0.0000, 0.0000)
Pa (0.6667, 0.3333, 0.5799)
C (0.3333, 0.6667, 0.2967)

Results
**ΔH_f (0 K)**: -0.165 eV per atom
**Density of states at the Fermi level**: 4.5 states/eV/cell
**Symmetry**: P3m1
**Size of the total moment**: 5.83 μB per cell


VASP calculation (PBE) on a relaxed PuPaC2 crystal.

abc: 3.4957 3.4957 17.8849
angles: 90.00 90.00 120.00
Element x y z (fractional)
Pu (0.0000, 0.0000, 0.0000)
Pu (0.3333, 0.6667, 0.6667)
Pu (0.6667, 0.3333, 0.3333)
Pa (0.0000, 0.0000, 0.1659)
Pa (0.3333, 0.6667, 0.8325)
Pa (0.6667, 0.3333, 0.4992)
C (0.0000, 0.0000, 0.4165)
C (0.0000, 0.0000, 0.5841)
C (0.3333, 0.6667, 0.0832)
C (0.3333, 0.6667, 0.2507)
C (0.6667, 0.3333, 0.7498)
C (0.6667, 0.3333, 0.9174)

Results
**ΔH_f (0 K)**: -0.054 eV per atom
**Density of states at the Fermi level**: 22.7 states/eV/cell
**Symmetry**: R3m
**Size of the total moment**: 14.65 μB per cell